DFT (PBE) results for a relaxed YZn crystal.

abc: 3.6871 3.6871 8.5938
angles: 90.00 90.00 120.00
With the nearest neighbours (Å) after each atom.
Positions (direct):
Y  0.6667  0.3333  0.7500  6 Zn 3.02
Y  0.3333  0.6667  0.2500  6 Zn 3.02
Zn  0.0000  0.0000  0.5000  6 Y 3.02
Zn  0.0000  0.0000  0.0000  6 Y 3.02

Values from the calculation:
Energy ... -4.0313 eV/atom
ΔH_f (0 K) ... -0.32 eV per formula unit